The following is a DFT calculation (GGA-PBEsol) of a relaxed SiTcRu2 crystal.

The value obtained for the formation energy without anion corrections is -0.289 eV/atom. The total DFT energy (no corrections) is -38.52 eV for the cell shown. The crystal system is orthorhombic.

Cell: 4.975 4.975 4.975 Å, 146.69 128.88 62.39°
Atoms (fractional coordinates):
Si 0.000 0.000 0.000
Tc 0.500 0.500 0.000
Ru 0.225 0.725 0.500
Ru 0.775 0.275 0.500



The following is a DFT calculation (GGA-PBEsol) of a relaxed SiTcRu2 crystal.

The value obtained for the formation energy without anion corrections is -0.141 eV/atom. The total DFT energy (no corrections) is -37.92 eV for the cell shown. The crystal system is orthorhombic.

Cell: 2.764 3.769 5.137 Å, 90.00 90.00 90.00°
Atoms (fractional coordinates):
Si 0.000 0.000 0.000
Tc 0.500 0.500 0.288
Ru 0.000 0.000 0.494
Ru 0.500 0.500 0.813



The following is a DFT calculation (GGA-PBEsol) of a relaxed Si2TcRu crystal.

The value obtained for the formation energy without anion corrections is -0.615 eV/atom. The total DFT energy (no corrections) is -35.39 eV for the cell shown. The crystal system is tetragonal.

Cell: 2.923 2.923 5.856 Å, 90.00 90.00 90.00°
Atoms (fractional coordinates):
Si 0.000 0.000 0.248
Si 0.000 0.000 0.752
Tc 0.500 0.500 0.000
Ru 0.500 0.500 0.500



The following is a DFT calculation (GGA-PBEsol) of a relaxed SiTcRu2 crystal.

The value obtained for the formation energy without anion corrections is 0.023 eV/atom. The total DFT energy (no corrections) is -37.27 eV for the cell shown. The crystal system is tetragonal.

Cell: 3.837 3.837 3.600 Å, 90.00 90.00 90.00°
Atoms (fractional coordinates):
Si 0.000 0.000 0.000
Tc 0.500 0.500 0.000
Ru 0.000 0.500 0.500
Ru 0.500 0.000 0.500



The following is a DFT calculation (GGA-PBEsol) of a relaxed Si2TcRu crystal.

The value obtained for the formation energy without anion corrections is 0.068 eV/atom. The total DFT energy (no corrections) is -32.66 eV for the cell shown. The crystal system is cubic.

Cell: 4.235 4.235 4.235 Å, 60.00 60.00 60.00°
Atoms (fractional coordinates):
Si 0.000 0.000 0.000
Si 0.250 0.250 0.250
Tc 0.750 0.750 0.750
Ru 0.500 0.500 0.500



The following is a DFT calculation (GGA-PBEsol) of a relaxed SiTeRu2 crystal.

The value obtained for the formation energy without anion corrections is -0.039 eV/atom. The total DFT energy (no corrections) is -29.77 eV for the cell shown. The crystal system is orthorhombic.

Cell: 3.066 4.648 4.313 Å, 90.00 90.00 90.00°
Atoms (fractional coordinates):
Si 0.000 0.000 0.000
Te 0.500 0.500 0.726
Ru 0.000 0.500 0.222
Ru 0.500 0.000 0.460



The following is a DFT calculation (GGA-PBEsol) of a relaxed SiTeRu2 crystal.

The value obtained for the formation energy without anion corrections is 0.015 eV/atom. The total DFT energy (no corrections) is -29.56 eV for the cell shown. The crystal system is trigonal.

Cell: 8.057 8.057 8.057 Å, 21.45 21.45 21.45°
Atoms (fractional coordinates):
Si 0.000 0.000 0.000
Te 0.500 0.500 0.500
Ru 0.258 0.258 0.258
Ru 0.742 0.742 0.742



The following is a DFT calculation (GGA-PBEsol) of a relaxed Si2TeRu crystal.

The value obtained for the formation energy without anion corrections is 0.074 eV/atom. The total DFT energy (no corrections) is -24.89 eV for the cell shown. The crystal system is trigonal.

Cell: 8.234 8.234 8.234 Å, 22.07 22.07 22.07°
Atoms (fractional coordinates):
Si 0.234 0.234 0.234
Si 0.766 0.766 0.766
Te 0.000 0.000 0.000
Ru 0.500 0.500 0.500



The following is a DFT calculation (GGA-PBEsol) of a relaxed SiTe2Ru crystal.

The value obtained for the formation energy without anion corrections is 0.401 eV/atom. The total DFT energy (no corrections) is -21.37 eV for the cell shown. The crystal system is tetragonal.

Cell: 3.275 3.275 7.203 Å, 90.00 90.00 90.00°
Atoms (fractional coordinates):
Si 0.000 0.000 0.000
Te 0.500 0.500 0.273
Te 0.500 0.500 0.727
Ru 0.000 0.000 0.500



The following is a DFT calculation (GGA-PBEsol) of a relaxed Si2TeRu crystal.

The value obtained for the formation energy without anion corrections is 0.267 eV/atom. The total DFT energy (no corrections) is -48.25 eV for the cell shown. The crystal system is tetragonal.

Cell: 6.835 6.835 6.835 Å, 130.07 130.07 73.29°
Atoms (fractional coordinates):
Si 0.062 0.625 0.937
Si 0.375 0.312 0.437
Si 0.688 0.125 0.063
Si 0.875 0.938 0.563
Te 0.250 0.750 0.500
Te 0.500 0.500 0.000
Ru 0.000 0.000 0.000
Ru 0.750 0.250 0.500



The following is a DFT calculation (GGA-PBEsol) of a relaxed Si2TeRu crystal.

The value obtained for the formation energy without anion corrections is 0.547 eV/atom. The total DFT energy (no corrections) is -23.01 eV for the cell shown. The crystal system is tetragonal.

Cell: 3.725 3.725 4.884 Å, 90.00 90.00 90.00°
Atoms (fractional coordinates):
Si 0.000 0.500 0.000
Si 0.500 0.000 0.000
Te 0.000 0.000 0.500
Ru 0.500 0.500 0.500



The following is a DFT calculation (GGA-PBEsol) of a relaxed ThSi2Ru2 crystal.

The value obtained for the formation energy without anion corrections is -0.959 eV/atom. The total DFT energy (no corrections) is -44.74 eV for the cell shown. The crystal system is tetragonal.

Cell: 5.669 5.669 5.669 Å, 136.78 136.78 62.78°
Atoms (fractional coordinates):
Th 0.000 0.000 0.000
Si 0.368 0.368 0.000
Si 0.632 0.632 0.000
Ru 0.250 0.750 0.500
Ru 0.750 0.250 0.500



The following is a DFT calculation (GGA-PBEsol) of a relaxed TiSiRu crystal.

The value obtained for the formation energy without anion corrections is -0.907 eV/atom. The total DFT energy (no corrections) is -161.77 eV for the cell shown. The crystal system is orthorhombic.

Cell: 7.303 7.303 7.303 Å, 122.70 81.22 127.76°
Atoms (fractional coordinates):
Ti 0.004 0.250 0.254
Ti 0.130 0.103 0.526
Ti 0.185 0.630 0.055
Ti 0.575 0.130 0.945
Ti 0.577 0.603 0.474
Ti 0.996 0.750 0.746
Si 0.246 0.072 0.160
Si 0.246 0.586 0.675
Si 0.559 0.341 0.718
Si 0.623 0.841 0.282
Si 0.911 0.086 0.840
Si 0.911 0.572 0.325
Ru 0.330 0.330 0.000
Ru 0.330 0.830 0.500
Ru 0.581 0.171 0.338
Ru 0.581 0.743 0.910
Ru 0.834 0.243 0.662
Ru 0.834 0.671 0.090



The following is a DFT calculation (GGA-PBEsol) of a relaxed TiSi3Ru crystal.

The value obtained for the formation energy without anion corrections is 1.219 eV/atom. The total DFT energy (no corrections) is -29.64 eV for the cell shown. The crystal system is cubic.

Cell: 4.542 4.542 4.542 Å, 90.00 90.00 90.00°
Atoms (fractional coordinates):
Ti 0.000 0.000 0.000
Si 0.000 0.000 0.500
Si 0.000 0.500 0.000
Si 0.500 0.000 0.000
Ru 0.500 0.500 0.500